Record 1
DFT (SCAN) results for a crystal of FeMoRh3 relaxed with PBEsol.

Unit cell a=4.550 b=4.550 c=4.550 alpha=90.00 beta=90.00 gamma=90.00
Atoms (fractional coordinates):
Fe 0.000 0.000 0.000
Mo 0.500 0.500 0.500
Rh 0.000 0.500 0.500
Rh 0.500 0.000 0.500
Rh 0.500 0.500 0.000



Record 2
DFT (SCAN) results for a crystal of FeMo2Rh relaxed with PBEsol.

Unit cell a=4.636 b=4.636 c=4.636 alpha=132.04 beta=132.04 gamma=70.17
Atoms (fractional coordinates):
Fe 0.000 0.000 0.000
Mo 0.250 0.750 0.500
Mo 0.750 0.250 0.500
Rh 0.500 0.500 0.000

Polymorph energy (0 for the lowest one) in meV/atom: 0.0



Record 3
DFT (SCAN) results for a crystal of Fe2MoRh relaxed with PBEsol.

Unit cell a=2.806 b=2.806 c=6.462 alpha=90.00 beta=90.00 gamma=90.00
Atoms (fractional coordinates):
Fe 0.000 0.000 0.000
Fe 0.500 0.500 0.208
Mo 0.000 0.000 0.461
Rh 0.500 0.500 0.749



Number 1: electronic total energy -29.514 eV per atom, ΔH_f (0 K) 1.35 eV per atom. Number 2: electronic total energy -30.392 eV per atom, ΔH_f (0 K) 0.03 eV per atom. Number 3: electronic total energy -26.284 eV per atom, ΔH_f (0 K) -0.06 eV per atom.